Entry 1:
First-principles (GGA-PBE) data for RbZr3O after structural relaxation, as listed in Alexandria.

Cell: 5.0224 5.0224 5.0224 Å, 90.00 90.00 90.00°
Last column: nearest neighbours and their distance in Å.
Space group Pm-3m (No. 221)
Asymmetric unit:
Rb  0.0000  0.0000  0.0000 [1 per cell]  6 Zr 2.51
Zr  0.0000  0.0000  0.5000 [3 per cell]  2 Rb 2.51
O  0.5000  0.5000  0.5000 [1 per cell]  12 Zr 3.55

E_form (uncorrected)   12.5 eV/f.u.
Uncorrected energy   -3.8142 eV/atom
E above lowest polymorph   248.0 kJ/mol of atoms
V   127 Å³ per cell

=====

Entry 2:
First-principles (GGA-PBE) data for Rb5ZrO4 after structural relaxation, as listed in Alexandria.

Cell: 8.2280 10.4784 6.6136 Å, 90.00 90.00 90.00°
Last column: nearest neighbours and their distance in Å.
Space group Pmmn (No. 59, origin choice 2)
Asymmetric unit:
Rb  0.0096  0.0740  0.2396 [8 per cell]  3 O 2.87-2.94
Rb  0.2500  0.7500  0.2772 [2 per cell]  2 O 2.69
Zr  0.2500  0.2500  0.7450 [2 per cell]  4 O 2.01-2.02
O  0.0519  0.2500  0.5670 [4 per cell]  1 Zr 2.01
O  0.2500  0.0914  0.9188 [4 per cell]  1 Zr 2.02

E_form (uncorrected)   -17.0 eV/f.u.
Uncorrected energy   -5.0194 eV/atom
V   570 Å³ per cell

=====

Entry 3:
First-principles (GGA-PBE) data for Rb3ZrO after structural relaxation, as listed in Alexandria.

Cell: 5.8409 5.8409 5.8409 Å, 90.00 90.00 90.00°
Last column: nearest neighbours and their distance in Å.
Space group Pm-3m (No. 221)
Asymmetric unit:
Rb  0.0000  0.0000  0.5000 [3 per cell]  2 O 2.92
Zr  0.5000  0.5000  0.5000 [1 per cell]  12 Rb 4.13
O  0.0000  0.0000  0.0000 [1 per cell]  6 Rb 2.92

E_form (uncorrected)   2.0 eV/f.u.
Uncorrected energy   -2.8800 eV/atom
E above lowest polymorph   0.0 kJ/mol of atoms
V   199 Å³ per cell

=====

Entry 4:
First-principles (GGA-PBE) data for Rb5Zr2O6 after structural relaxation, as listed in Alexandria.

Cell: 11.5049 8.1475 15.2250 Å, 90.00 95.01 90.00°
Last column: nearest neighbours and their distance in Å.
Space group C2/c (No. 15)
Asymmetric unit:
Rb  0.0000  0.0666  0.2500 [4 per cell]  2 O 2.76
Rb  0.0433  0.2329  0.9699 [8 per cell]  2 O 2.82-3.13
Rb  0.1514  0.4721  0.7003 [8 per cell]  5 O 2.83-3.08
Zr  0.2261  0.3716  0.4213 [8 per cell]  4 O 1.95-2.11
O  0.0749  0.4681  0.3820 [8 per cell]  1 Zr 1.95
O  0.1595  0.1153  0.6657 [8 per cell]  1 Zr 1.95
O  0.2006  0.1239  0.4467 [8 per cell]  2 Zr 2.08-2.11

E_form (uncorrected)   -26.9 eV/f.u.
Uncorrected energy   -6.0481 eV/atom
V   1422 Å³ per cell

=====

Entry 5:
First-principles (GGA-PBE) data for Rb8ZrO6 after structural relaxation, as listed in Alexandria.

Cell: 8.0458 7.8297 12.4014 Å, 90.00 90.00 90.00°
Last column: nearest neighbours and their distance in Å.
Space group Pmn2_1 (No. 31)
Asymmetric unit:
Rb  0.0000  0.0973  0.0740 [2 per cell]  3 O 2.75-2.90
Rb  0.0000  0.1490  0.5912 [2 per cell]  3 O 2.82-2.96
Rb  0.2038  0.5507  0.7758 [4 per cell]  4 O 2.87-3.09
Rb  0.2131  0.6402  0.5000 [4 per cell]  4 O 2.83-3.02
Rb  0.2221  0.9897  0.8138 [4 per cell]  2 O 2.75-2.89
Zr  0.0000  0.6760  0.0915 [2 per cell]  4 O 2.01
O  0.0000  0.2462  0.8601 [2 per cell]  7 Rb 2.75-3.08
O  0.0000  0.4319  0.1415 [2 per cell]  1 Zr 2.01
O  0.0000  0.7856  0.6571 [2 per cell]  7 Rb 2.83-3.09
O  0.0000  0.8287  0.2215 [2 per cell]  1 Zr 2.01
O  0.2047  0.7173  0.0017 [4 per cell]  1 Zr 2.01

E_form (uncorrected)   -22.2 eV/f.u.
Uncorrected energy   -4.5508 eV/atom
V   781 Å³ per cell

=====

Entry 6:
First-principles (GGA-PBE) data for Rb2ZrO3 after structural relaxation, as listed in Alexandria.

Cell: 6.4665 12.4983 13.8875 Å, 90.00 90.00 90.00°
Last column: nearest neighbours and their distance in Å.
Space group Cmce (No. 64)
Asymmetric unit:
Rb  0.0000  0.0571  0.1293 [8 per cell]  2 O 2.85-2.91
Rb  0.0000  0.1249  0.5768 [8 per cell]  4 O 2.85-3.14
Zr  0.0000  0.2457  0.3348 [8 per cell]  4 O 1.95-2.04
O  0.0000  0.0954  0.3712 [8 per cell]  1 Zr 1.95
O  0.0000  0.1600  0.9463 [8 per cell]  1 Zr 1.95
O  0.2500  0.2218  0.7500 [8 per cell]  2 Zr 2.04

E_form (uncorrected)   -14.1 eV/f.u.
Uncorrected energy   -6.5740 eV/atom
V   1122 Å³ per cell

=====

Entry 7:
First-principles (GGA-PBE) data for Re2O7 after structural relaxation, as listed in Alexandria.

Cell: 15.3790 8.0338 5.8192 Å, 90.00 90.00 90.00°
Last column: nearest neighbours and their distance in Å.
Space group Cmc2_1 (No. 36)
Asymmetric unit:
Re  0.1106  0.2456  0.0000 [8 per cell]  4 O 1.72-1.91
O  0.0000  0.2520  0.8516 [4 per cell]  2 Re 1.91
O  0.1138  0.4080  0.1938 [8 per cell]  1 Re 1.73
O  0.1172  0.0631  0.1556 [8 per cell]  1 Re 1.73
O  0.1971  0.2604  0.8138 [8 per cell]  1 Re 1.72

E_form (uncorrected)   -13.1 eV/f.u.
Uncorrected energy   -8.0804 eV/atom
E above lowest polymorph   0.0 kJ/mol of atoms
V   719 Å³ per cell

=====

Entry 8:
First-principles (GGA-PBE) data for Re2O7 after structural relaxation, as listed in Alexandria.

Cell: 17.7306 5.2639 5.3822 Å, 90.00 90.00 90.00°
Last column: nearest neighbours and their distance in Å.
Space group Cmcm (No. 63)
Asymmetric unit:
Re  0.1090  0.2454  0.2500 [8 per cell]  5 O 1.74-1.91
O  0.0000  0.3188  0.2500 [4 per cell]  2 Re 1.97
O  0.0857  0.0000  0.0000 [8 per cell]  2 Re 1.91
O  0.1192  0.5000  0.0000 [8 per cell]  2 Re 1.91
O  0.2038  0.1634  0.2500 [8 per cell]  1 Re 1.74

E_form (uncorrected)   -12.3 eV/f.u.
Uncorrected energy   -7.9842 eV/atom
E above lowest polymorph   9.3 kJ/mol of atoms
V   502 Å³ per cell

=====

Entry 9:
First-principles (GGA-PBE) data for ReO2 after structural relaxation, as listed in Alexandria.

Cell: 5.5685 4.8911 5.6414 Å, 90.00 119.65 90.00°
Last column: nearest neighbours and their distance in Å.
Space group P2_1/c (No. 14)
Asymmetric unit:
Re  0.2329  0.0051  0.2182 [4 per cell]  6 O 1.96-2.06
O  0.1109  0.7155  0.3761 [4 per cell]  3 Re 1.96-2.01
O  0.3922  0.1943  0.5882 [4 per cell]  3 Re 2.03-2.06

E_form (uncorrected)   -4.1 eV/f.u.
Uncorrected energy   -8.8082 eV/atom
V   134 Å³ per cell

=====

Entry 10:
First-principles (GGA-PBE) data for Re2O9 after structural relaxation, as listed in Alexandria.

Cell: 4.7075 9.2479 8.8419 Å, 90.00 100.49 90.00°
Last column: nearest neighbours and their distance in Å.
Space group P2_1/m (No. 11)
Asymmetric unit:
Re  0.0167  0.2500  0.4675 [2 per cell]  4 O 1.73-1.80
Re  0.4109  0.2500  0.9003 [2 per cell]  3 O 1.73-1.76
O  0.1906  0.0993  0.9147 [4 per cell]  1 Re 1.76
O  0.2088  0.5983  0.5557 [4 per cell]  1 Re 1.75
O  0.2254  0.2500  0.3256 [2 per cell]  1 Re 1.73
O  0.2464  0.2500  0.6544 [2 per cell]  1 Re 1.80
O  0.3106  0.6360  0.2166 [4 per cell]  1 Re 2.10, 1 O 2.11
O  0.3379  0.7500  0.9299 [2 per cell]  1 Re 1.73

E_form (uncorrected)   -8.3 eV/f.u.
Uncorrected energy   -7.0724 eV/atom
V   378 Å³ per cell

=====

Entry 11:
First-principles (GGA-PBE) data for ReO2 after structural relaxation, as listed in Alexandria.

Cell: 4.9422 4.9422 2.7159 Å, 90.00 90.00 90.00°
Last column: nearest neighbours and their distance in Å.
Space group P4_2/mnm (No. 136)
Asymmetric unit:
Re  0.0000  0.0000  0.0000 [2 per cell]  6 O 1.97-2.04
O  0.2186  0.2186  0.5000 [4 per cell]  3 Re 1.97-2.04

E_form (uncorrected)   -4.0 eV/f.u.
Uncorrected energy   -8.7725 eV/atom
V   66 Å³ per cell

=====

Entry 12:
First-principles (GGA-PBE) data for Re2O7 after structural relaxation, as listed in Alexandria.

Cell: 10.4315 9.9902 7.3838 Å, 90.00 134.93 90.00°
Last column: nearest neighbours and their distance in Å.
Space group Cc (No. 9)
Asymmetric unit:
Re  0.0000  0.0111  0.0000 [4 per cell]  5 O 1.79-1.92
Re  0.2783  0.2388  0.0002 [4 per cell]  5 O 1.79-1.92
O  0.0022  0.0707  0.2312 [4 per cell]  1 Re 1.79
O  0.0072  0.3208  0.7312 [4 per cell]  1 Re 1.79
O  0.0914  0.3750  0.4045 [4 per cell]  1 O 2.41
O  0.1819  0.1226  0.7278 [4 per cell]  2 Re 1.88-1.92
O  0.1818  0.1250  0.0854 [4 per cell]  2 Re 1.90
O  0.3223  0.3750  0.8664 [4 per cell]  2 Re 1.92
O  0.3240  0.3725  0.2278 [4 per cell]  2 Re 1.88-1.92

E_form (uncorrected)   -8.7 eV/f.u.
Uncorrected energy   -7.5901 eV/atom
E above lowest polymorph   47.3 kJ/mol of atoms
V   545 Å³ per cell

=====

Among the records above, which one has the lowest E_form (uncorrected)?
Rb5Zr2O6

=====

V of number 5 (Rb8ZrO6)?
781 Å³ per cell